The following is a DFT calculation (PBE) of an optimized crystal structure of CoSiHgMo. Values from VASP.

Values from the calculation:
SG = F-43m (216)
Calculated density = 10.3 g/cm3
Magnetization = 1.48 μB per formula unit
Volume = 61.9 Å³/f.u.
Raw total energy = -20.6 eV per formula unit

Quantum ESPRESSO input file:
```
&SYSTEM
  ibrav = 0, nat = 16, ntyp = 4
/
ATOMIC_SPECIES
Co 58.93 Co.upf
Si 28.09 Si.upf
Hg 200.59 Hg.upf
Mo 95.94 Mo.upf
CELL_PARAMETERS angstrom
6.280 0.000 0.000
0.000 6.280 0.000
0.000 0.000 6.280
ATOMIC_POSITIONS angstrom
Co 0.000 0.000 0.000
Co 0.000 3.140 3.140
Co 3.140 0.000 3.140
Co 3.140 3.140 0.000
Si 1.570 1.570 4.710
Si 1.570 4.710 1.570
Si 4.710 1.570 1.570
Si 4.710 4.710 4.710
Hg 0.000 0.000 3.140
Hg 0.000 3.140 0.000
Hg 3.140 0.000 0.000
Hg 3.140 3.140 3.140
Mo 1.570 1.570 1.570
Mo 1.570 4.710 4.710
Mo 4.710 1.570 4.710
Mo 4.710 4.710 1.570
```